[1]
Crystalline Na3NpSe4 at its relaxed geometry, computed with PBE-GGA.

Unit cell a=7.3529 b=8.4696 c=7.2064 alpha=90.00 beta=110.07 gamma=90.00
With the nearest neighbours (Å) after each atom.
Space group P2/c (No. 13)
Symmetry-distinct sites (fractional):
Na1 0.0000 0.1137 0.2500 x2  6 Se 2.93-3.24
Na2 0.0000 0.3717 0.7500 x2  6 Se 2.94-3.19
Na3 0.5000 0.1199 0.7500 x2  6 Se 2.98-3.06
Np1 0.5000 0.3687 0.2500 x2  6 Se 2.70-2.82
Se1 0.2620 0.1470 0.0241 x4  1 Np 2.70, 3 Na 2.93-2.98
Se2 0.2809 0.3926 0.4985 x4  2 Np 2.80-2.82, 2 Na 2.99-3.04

## Properties
E above lowest polymorph: 0.0 meV per atom
Raw formation energy: -1.1003 eV per atom
DOS(E_F): 11.587 states/eV per cell



[2]
Crystalline NaNp4Se8 at its relaxed geometry, computed with PBE-GGA.

Unit cell a=14.3623 b=8.3050 c=10.1080 alpha=90.00 beta=134.64 gamma=90.00
With the nearest neighbours (Å) after each atom.
Space group C2/m (No. 12)
Symmetry-distinct sites (fractional):
Na1 0.0000 0.0000 0.0000 x2  6 Se 3.11-3.13
Np1 0.0000 0.2526 0.5000 x4  6 Se 2.83-2.85
Np2 0.2382 0.5000 0.4779 x4  6 Se 2.81-2.85
Se1 0.0123 0.0000 0.7026 x4  3 Np 2.85, 1 Na 3.13
Se2 0.0280 0.5000 0.7178 x4  3 Np 2.81-2.83
Se3 0.2275 0.2382 0.2876 x8  3 Np 2.84-2.85, 1 Na 3.11

## Properties
Raw formation energy: -1.1068 eV per atom
DOS(E_F): 72.942 states/eV per cell



[3]
Crystalline Na2Np3Se6 at its relaxed geometry, computed with PBE-GGA.

Unit cell a=7.2179 b=12.4997 c=7.3952 alpha=90.00 beta=108.92 gamma=90.00
With the nearest neighbours (Å) after each atom.
Space group C2/m (No. 12)
Symmetry-distinct sites (fractional):
Na1 0.0000 0.1670 0.0000 x4  6 Se 3.08
Np1 0.0000 0.0000 0.5000 x2  6 Se 2.87-2.88
Np2 0.0000 0.3344 0.5000 x4  6 Se 2.87-2.88
Se1 0.2403 0.1676 0.7243 x8  3 Np 2.87-2.88, 2 Na 3.08
Se2 0.2436 0.5000 0.7259 x4  3 Np 2.87, 2 Na 3.08

## Properties
Raw formation energy: -1.1861 eV per atom
DOS(E_F): 65.335 states/eV per cell



[4]
Crystalline Na3NpSe4 at its relaxed geometry, computed with PBE-GGA.

Unit cell a=7.3620 b=7.3620 c=7.3620 alpha=90.00 beta=90.00 gamma=90.00
With the nearest neighbours (Å) after each atom.
Space group P-43m (No. 215)
Symmetry-distinct sites (fractional):
Na1 0.0000 0.0000 0.5000 x3  4 Se 3.05
Np1 0.0000 0.0000 0.0000 x1  4 Se 2.63
Se1 0.2059 0.2059 0.2059 x4  1 Np 2.63

## Properties
E above lowest polymorph: 342.8 meV per atom
Raw formation energy: -0.7574 eV per atom
DOS(E_F): 11.752 states/eV per cell



[5]
Crystalline NaSm2Np3Se6 at its relaxed geometry, computed with PBE-GGA.

Unit cell a=18.1001 b=4.1335 c=8.3237 alpha=90.00 beta=103.19 gamma=90.00
With the nearest neighbours (Å) after each atom.
Space group C2/m (No. 12)
Symmetry-distinct sites (fractional):
Na1 0.0000 0.0000 0.0000 x2  6 Se 2.94-2.95
Sm1 0.1678 0.5000 0.3369 x4  6 Se 2.94-2.97
Np1 0.0000 0.0000 0.5000 x2  6 Se 2.91-2.92
Np2 0.1674 0.5000 0.8334 x4  6 Se 2.91-2.94
Se1 0.9996 0.5000 0.2525 x4  3 Np 2.92-2.94, 2 Na 2.95, 1 Sm 2.96
Se2 0.1651 0.0000 0.5867 x4  3 Np 2.91, 3 Sm 2.94-2.95
Se3 0.1669 0.0000 0.0801 x4  3 Np 2.91-2.92, 1 Na 2.94, 2 Sm 2.97

## Properties
Raw formation energy: -1.3506 eV per atom
DOS(E_F): 68.229 states/eV per cell



[6]
Crystalline Na2SmNp3Se6 at its relaxed geometry, computed with PBE-GGA.

Unit cell a=7.2097 b=12.4783 c=7.2694 alpha=90.00 beta=109.22 gamma=90.00
With the nearest neighbours (Å) after each atom.
Space group C2/m (No. 12)
Symmetry-distinct sites (fractional):
Na1 0.0000 0.1661 0.0000 x4  6 Se 2.99
Sm1 0.0000 0.5000 0.0000 x2  6 Se 2.96
Np1 0.0000 0.0000 0.5000 x2  6 Se 2.92-2.94
Np2 0.0000 0.3314 0.5000 x4  6 Se 2.92-2.93
Se1 0.2432 0.5000 0.7419 x4  3 Np 2.93-2.94, 1 Sm 2.96, 2 Na 2.99
Se2 0.2498 0.1648 0.7440 x8  3 Np 2.92-2.93, 1 Sm 2.96, 2 Na 2.99

## Properties
Raw formation energy: -1.2902 eV per atom
DOS(E_F): 57.765 states/eV per cell



[7]
Crystalline Na3Sm3NpSe8 at its relaxed geometry, computed with PBE-GGA.

Unit cell a=8.4428 b=8.4428 c=21.0934 alpha=90.00 beta=90.00 gamma=120.00
With the nearest neighbours (Å) after each atom.
Space group R-3m (No. 166, hexagonal axes)
Symmetry-distinct sites (fractional):
Na1 0.0000 0.5000 0.0000 x9  6 Se 3.07-3.08
Sm1 0.0000 0.5000 0.5000 x9  6 Se 2.94
Np1 0.0000 0.0000 0.5000 x3  6 Se 2.85
Se1 0.0000 0.0000 0.2447 x6  3 Sm 2.94, 3 Na 3.07
Se2 0.0093 0.5046 0.2420 x18  1 Np 2.85, 2 Sm 2.94, 2 Na 3.08

## Properties
Raw formation energy: -1.5564 eV per atom
DOS(E_F): 11.658 states/eV per cell



[8]
Crystalline Na3Sm2NpSe6 at its relaxed geometry, computed with PBE-GGA.

Unit cell a=7.3320 b=12.6988 c=7.4025 alpha=90.00 beta=109.26 gamma=90.00
With the nearest neighbours (Å) after each atom.
Space group C2/m (No. 12)
Symmetry-distinct sites (fractional):
Na1 0.0000 0.0000 0.0000 x2  6 Se 3.07-3.08
Na2 0.0000 0.3330 0.0000 x4  6 Se 3.07-3.08
Sm1 0.0000 0.1666 0.5000 x4  6 Se 2.94
Np1 0.0000 0.5000 0.5000 x2  6 Se 2.93
Se1 0.2440 0.3338 0.7336 x8  1 Np 2.93, 2 Sm 2.94, 3 Na 3.07-3.08
Se2 0.2455 0.0000 0.7331 x4  1 Np 2.93, 2 Sm 2.94, 3 Na 3.07-3.08

## Properties
Raw formation energy: -1.5190 eV per atom
DOS(E_F): 11.879 states/eV per cell



[9]
Crystalline Na2SmNpSe4 at its relaxed geometry, computed with PBE-GGA.

Unit cell a=7.3211 b=4.2206 c=7.4043 alpha=90.00 beta=109.36 gamma=90.00
With the nearest neighbours (Å) after each atom.
Space group P2/m (No. 10)
Symmetry-distinct sites (fractional):
Na1 0.0000 0.0000 0.0000 x1  6 Se 3.07-3.08
Na2 0.5000 0.5000 0.0000 x1  6 Se 3.06-3.07
Sm1 0.0000 0.5000 0.5000 x1  6 Se 2.94
Np1 0.5000 0.0000 0.5000 x1  6 Se 2.92-2.94
Se1 0.2458 0.0000 0.7344 x2  1 Np 2.94, 2 Sm 2.94, 3 Na 3.06-3.07
Se2 0.2582 0.5000 0.2688 x2  2 Np 2.92, 1 Sm 2.94, 3 Na 3.07-3.08

## Properties
Raw formation energy: -1.4378 eV per atom
DOS(E_F): 7.916 states/eV per cell



[10]
Crystalline Na4Np3SnSe8 at its relaxed geometry, computed with PBE-GGA.

Unit cell a=8.4838 b=8.4838 c=20.6972 alpha=90.00 beta=90.00 gamma=120.00
With the nearest neighbours (Å) after each atom.
Space group R-3m (No. 166, hexagonal axes)
Symmetry-distinct sites (fractional):
Na1 0.0000 0.0000 0.0000 x3  6 Se 3.01
Na2 0.0000 0.5000 0.0000 x9  6 Se 3.08-3.11
Np1 0.0000 0.5000 0.5000 x9  6 Se 2.88-2.92
Sn1 0.0000 0.0000 0.5000 x3  6 Se 2.99
Se1 0.0000 0.0000 0.2431 x6  3 Np 2.92, 3 Na 3.08
Se2 0.0113 0.5057 0.7568 x18  2 Np 2.88, 1 Sn 2.99, 3 Na 3.01-3.11

## Properties
Raw formation energy: -1.1030 eV per atom
DOS(E_F): 97.510 states/eV per cell



[11]
Crystalline Na2NpSnSe4 at its relaxed geometry, computed with PBE-GGA.

Unit cell a=7.2737 b=4.2184 c=7.4539 alpha=90.00 beta=109.14 gamma=90.00
With the nearest neighbours (Å) after each atom.
Space group P2/m (No. 10)
Symmetry-distinct sites (fractional):
Na1 0.0000 0.0000 0.0000 x1  6 Se 3.12-3.19
Na2 0.0000 0.5000 0.5000 x1  6 Se 3.03
Np1 0.5000 0.0000 0.5000 x1  6 Se 2.81-2.88
Sn1 0.5000 0.5000 0.0000 x1  6 Se 2.98-2.99
Se1 0.2701 0.0000 0.7383 x2  1 Np 2.81, 2 Sn 2.99, 2 Na 3.03
Se2 0.2723 0.5000 0.2675 x2  2 Np 2.88, 1 Sn 2.98, 3 Na 3.03-3.12

## Properties
Raw formation energy: -0.9856 eV per atom
DOS(E_F): 7.734 states/eV per cell



[12]
Crystalline NaSr2NpSe4 at its relaxed geometry, computed with PBE-GGA.

Unit cell a=7.4653 b=4.3566 c=7.4961 alpha=90.00 beta=108.98 gamma=90.00
With the nearest neighbours (Å) after each atom.
Space group P2/m (No. 10)
Symmetry-distinct sites (fractional):
Na1 0.0000 0.0000 0.0000 x1  6 Se 3.02-3.07
Sr1 0.5000 0.0000 0.5000 x1  6 Se 3.08-3.09
Sr2 0.5000 0.5000 0.0000 x1  6 Se 3.16-3.17
Np1 0.0000 0.5000 0.5000 x1  6 Se 2.93-2.99
Se1 0.2324 0.0000 0.7373 x2  2 Np 2.99, 1 Na 3.02, 3 Sr 3.08-3.17
Se2 0.2392 0.5000 0.2582 x2  1 Np 2.93, 2 Na 3.07, 3 Sr 3.09-3.16

## Properties
Raw formation energy: -1.5788 eV per atom
DOS(E_F): 9.813 states/eV per cell